DFT (PBE) results for a geometry-optimized BaHfCu3 structure.

Output
Total DFT energy (no corrections) in eV for the cell shown: -21.69
Energy of formation in eV/atom: 0.495

The structure in CIF format:
```
data_BaHfCu3
_cell_length_a 5.0883
_cell_length_b 5.0883
_cell_length_c 5.0883
_cell_angle_alpha 90.00
_cell_angle_beta 90.00
_cell_angle_gamma 90.00
_symmetry_space_group_name_H-M 'P m -3 m'
_symmetry_Int_Tables_number 221
_symmetry_space_group_name_Hall '-P 4 2 3'
loop_
_atom_site_label
_atom_site_type_symbol
_atom_site_fract_x
_atom_site_fract_y
_atom_site_fract_z
Ba1 Ba 0.0000 0.0000 0.0000
Hf1 Hf 0.5000 0.5000 0.5000
Cu1 Cu 0.0000 0.5000 0.5000
```